1.
Compound: YIrPb2Au
Source: the Alexandria database
Functional: PBEsol
Structure: relaxed

Cell lengths 5.127, 5.127, 5.257 Å; angles 90.00, 90.00, 90.00 degrees
Fractional positions:
Y 0.000 0.000 0.500
Pb 0.500 0.000 0.000
Pb 0.000 0.500 0.000
Ir 0.000 0.000 0.000
Au 0.500 0.500 0.500

Results
spin magnetization = 0.000 μB per atom
crystal system = tetragonal
final energy = -0.206 Ha/atom
E_form = 0.109 eV/atom

=====

2.
Compound: Pm2IrAu
Source: the Alexandria database
Functional: PBEsol
Structure: relaxed

Cell lengths 5.007, 5.007, 5.007 Å; angles 60.00, 60.00, 60.00 degrees
Fractional positions:
Ir 0.500 0.500 0.500
Au 0.000 0.000 0.000
Pm 0.250 0.250 0.250
Pm 0.750 0.750 0.750

Results
spin magnetization = 0.000 μB per atom
crystal system = cubic
final energy = -0.246 Ha/atom
E_form = -0.676 eV/atom

=====

3.
Compound: IrPt2Au
Source: the Alexandria database
Functional: PBEsol
Structure: relaxed

Cell lengths 2.769, 2.769, 9.295 Å; angles 81.44, 81.44, 60.00 degrees
Fractional positions:
Pt 0.253 0.253 0.240
Pt 0.747 0.747 0.760
Au 0.500 0.500 0.500
Ir 0.000 0.000 0.000

Results
spin magnetization = 0.000 μB per atom
E above lowest polymorph = 0 meV per atom
crystal system = trigonal
final energy = -0.251 Ha/atom
E_form = 0.079 eV/atom

=====

4.
Compound: IrPt2Au
Source: the Alexandria database
Functional: PBEsol
Structure: relaxed

Cell lengths 2.774, 2.774, 7.919 Å; angles 90.00, 90.00, 90.00 degrees
Fractional positions:
Au 0.500 0.500 0.000
Pt 0.000 0.000 0.265
Pt 0.000 0.000 0.735
Ir 0.500 0.500 0.500

Results
spin magnetization = 0.000 μB per atom
E above lowest polymorph = 9 meV per atom
crystal system = tetragonal
final energy = -0.251 Ha/atom
E_form = 0.088 eV/atom